[1]
Computed, not measured: an optimized crystal structure of MoPdW2 at the PBE-GGA level of DFT.

## Properties
Total magnetic moment = 0.000 μB/cell
Raw total energy = -10.32 eV/atom
Volume = 62.9 Å³ per cell

Cell: 3.9893 3.9893 3.9512 Å, 90.00 90.00 90.00°
Sites, in units of the cell vectors:
Mo1 0.0000 0.0000 0.0000
Pd1 0.5000 0.5000 0.0000
W1 0.0000 0.5000 0.5000
W2 0.5000 0.0000 0.5000

[2]
Computed, not measured: an optimized crystal structure of RbZr2Ge4 at the PBE-GGA level of DFT.

## Properties
Total magnetic moment = 0.000 μB/cell
Raw total energy = -4.30 eV/atom
Volume = 201.6 Å³ per cell

Cell: 8.1729 8.1729 8.1729 Å, 142.43 142.43 54.19°
Sites, in units of the cell vectors:
Rb1 0.0000 0.0000 0.0000
Zr1 0.4027 0.4027 0.0000
Zr2 0.5973 0.5973 0.0000
Ge1 0.0000 0.5000 0.5000
Ge2 0.2160 0.2160 0.0000
Ge3 0.5000 0.0000 0.5000
Ge4 0.7840 0.7840 0.0000

[3]
Computed, not measured: an optimized crystal structure of LiNiIr2 at the PBE-GGA level of DFT.

## Properties
Total magnetic moment = 0.000 μB/cell
Raw total energy = -6.43 eV/atom
Volume = 51.0 Å³ per cell

Cell: 4.5405 4.5405 4.5405 Å, 131.79 131.79 70.56°
Sites, in units of the cell vectors:
Li1 0.0000 0.0000 0.0000
Ni1 0.2500 0.7500 0.5000
Ir1 0.5000 0.5000 0.0000
Ir2 0.7500 0.2500 0.5000